1.
MgCo2H8: relaxed, PBE.

CIF file:
```
data_MgCo2H8
_cell_length_a 3.918
_cell_length_b 3.918
_cell_length_c 4.406
_cell_angle_alpha 90.00
_cell_angle_beta 90.00
_cell_angle_gamma 90.00
_space_group_name_H-M_alt 'P 4/m m m'
_space_group_IT_number 123
_space_group_name_Hall '-P 4 2'
loop_
_atom_site_label
_atom_site_type_symbol
_atom_site_fract_x
_atom_site_fract_y
_atom_site_fract_z
Mg1 Mg 0.000 0.000 0.000
Co1 Co 0.000 0.500 0.500
H1 H 0.276 0.276 0.295
```

Results
Calculated total energy in eV for the cell shown: -42.53

2.
InTc3Ge: relaxed, PBE.

CIF file:
```
data_InTc3Ge
_cell_length_a 4.963
_cell_length_b 4.963
_cell_length_c 4.963
_cell_angle_alpha 90.00
_cell_angle_beta 90.00
_cell_angle_gamma 90.00
_space_group_name_H-M_alt 'P m -3 m'
_space_group_IT_number 221
_space_group_name_Hall '-P 4 2 3'
loop_
_atom_site_label
_atom_site_type_symbol
_atom_site_fract_x
_atom_site_fract_y
_atom_site_fract_z
In1 In 0.000 0.000 0.000
Tc1 Tc 0.000 0.000 0.500
Ge1 Ge 0.500 0.500 0.500
```

Results
Formation energy in eV/atom: 2.287
Calculated total energy in eV for the cell shown: -27.02

3.
Er4Tl3Pt: relaxed, PBE.

CIF file:
```
data_Er4Tl3Pt
_cell_length_a 3.593
_cell_length_b 3.593
_cell_length_c 15.647
_cell_angle_alpha 90.00
_cell_angle_beta 90.00
_cell_angle_gamma 90.00
_space_group_name_H-M_alt 'P 4/m m m'
_space_group_IT_number 123
_space_group_name_Hall '-P 4 2'
loop_
_atom_site_label
_atom_site_type_symbol
_atom_site_fract_x
_atom_site_fract_y
_atom_site_fract_z
Er1 Er 0.000 0.000 0.104
Er2 Er 0.000 0.000 0.368
Tl1 Tl 0.500 0.500 0.240
Tl2 Tl 0.500 0.500 0.500
Pt1 Pt 0.500 0.500 0.000
```

Results
Formation energy in eV/atom: -0.565
Calculated total energy in eV for the cell shown: -35.91

4.
Cr2CoPb: relaxed, PBE.

CIF file:
```
data_Cr2CoPb
_cell_length_a 4.008
_cell_length_b 4.008
_cell_length_c 7.604
_cell_angle_alpha 90.00
_cell_angle_beta 90.00
_cell_angle_gamma 90.00
_space_group_name_H-M_alt 'I -4 m 2'
_space_group_IT_number 119
_space_group_name_Hall 'I -4 -2'
loop_
_atom_site_label
_atom_site_type_symbol
_atom_site_fract_x
_atom_site_fract_y
_atom_site_fract_z
Cr1 Cr 0.000 0.000 0.000
Cr2 Cr 0.000 0.500 0.250
Co1 Co 0.000 0.000 0.500
Pb1 Pb 0.000 0.500 0.750
```

Results
Formation energy in eV/atom: 0.473
Calculated total energy in eV for the cell shown: -56.34

5.
AlFeCuGe: relaxed, PBE.

CIF file:
```
data_AlFeCuGe
_cell_length_a 5.922
_cell_length_b 5.922
_cell_length_c 5.922
_cell_angle_alpha 90.00
_cell_angle_beta 90.00
_cell_angle_gamma 90.00
_space_group_name_H-M_alt 'F -4 3 m'
_space_group_IT_number 216
_space_group_name_Hall 'F -4 2 3'
loop_
_atom_site_label
_atom_site_type_symbol
_atom_site_fract_x
_atom_site_fract_y
_atom_site_fract_z
Al1 Al 0.000 0.000 0.000
Fe1 Fe 0.250 0.250 0.750
Cu1 Cu 0.250 0.250 0.250
Ge1 Ge 0.000 0.000 0.500
```

Results
Formation energy in eV/atom: 0.030
Calculated total energy in eV for the cell shown: -83.19

6.
AsOs3Pt: relaxed, PBE.

CIF file:
```
data_AsOs3Pt
_cell_length_a 4.752
_cell_length_b 4.752
_cell_length_c 4.752
_cell_angle_alpha 90.00
_cell_angle_beta 90.00
_cell_angle_gamma 90.00
_space_group_name_H-M_alt 'P m -3 m'
_space_group_IT_number 221
_space_group_name_Hall '-P 4 2 3'
loop_
_atom_site_label
_atom_site_type_symbol
_atom_site_fract_x
_atom_site_fract_y
_atom_site_fract_z
As1 As 0.000 0.000 0.000
Os1 Os 0.000 0.500 0.500
Pt1 Pt 0.500 0.500 0.500
```

Results
Formation energy in eV/atom: 2.616
Calculated total energy in eV for the cell shown: -31.30

7.
Ta2FeSe: relaxed, PBE.

CIF file:
```
data_Ta2FeSe
_cell_length_a 3.721
_cell_length_b 3.721
_cell_length_c 9.188
_cell_angle_alpha 90.00
_cell_angle_beta 90.00
_cell_angle_gamma 90.00
_space_group_name_H-M_alt 'I -4 m 2'
_space_group_IT_number 119
_space_group_name_Hall 'I -4 -2'
loop_
_atom_site_label
_atom_site_type_symbol
_atom_site_fract_x
_atom_site_fract_y
_atom_site_fract_z
Ta1 Ta 0.000 0.000 0.000
Ta2 Ta 0.000 0.500 0.250
Fe1 Fe 0.000 0.500 0.750
Se1 Se 0.000 0.000 0.500
```

Results
Calculated total energy in eV for the cell shown: -69.54

8.
Ho6ScZn: relaxed, PBE.

CIF file:
```
data_Ho6ScZn
_cell_length_a 9.0523
_cell_length_b 9.0523
_cell_length_c 9.6952
_cell_angle_alpha 90.00
_cell_angle_beta 90.00
_cell_angle_gamma 120.00
_space_group_name_H-M_alt 'R -3'
_space_group_IT_number 148
_space_group_name_Hall '-R 3'
loop_
_atom_site_label
_atom_site_type_symbol
_atom_site_fract_x
_atom_site_fract_y
_atom_site_fract_z
Ho1 Ho 0.0304 0.2502 0.2096
Sc1 Sc 0.0000 0.0000 0.5000
Zn1 Zn 0.0000 0.0000 0.0000
```

Results
Formation energy in eV/atom: 0.056
Calculated total energy in eV for the cell shown: -103.87

9.
MgBe2CuAu5: relaxed, PBE.

CIF file:
```
data_MgBe2CuAu5
_cell_length_a 4.534
_cell_length_b 4.534
_cell_length_c 6.958
_cell_angle_alpha 90.00
_cell_angle_beta 90.00
_cell_angle_gamma 90.00
_space_group_name_H-M_alt 'P 4/m m m'
_space_group_IT_number 123
_space_group_name_Hall '-P 4 2'
loop_
_atom_site_label
_atom_site_type_symbol
_atom_site_fract_x
_atom_site_fract_y
_atom_site_fract_z
Mg1 Mg 0.000 0.000 0.000
Be1 Be 0.500 0.500 0.343
Cu1 Cu 0.000 0.000 0.500
Au1 Au 0.000 0.500 0.276
Au2 Au 0.500 0.500 0.000
```

Results
Formation energy in eV/atom: -0.102
Calculated total energy in eV for the cell shown: -30.44

10.
Na2MgSbPt: relaxed, PBE.

CIF file:
```
data_Na2MgSbPt
_cell_length_a 5.360
_cell_length_b 5.360
_cell_length_c 5.079
_cell_angle_alpha 90.00
_cell_angle_beta 90.00
_cell_angle_gamma 90.00
_space_group_name_H-M_alt 'P 4/m m m'
_space_group_IT_number 123
_space_group_name_Hall '-P 4 2'
loop_
_atom_site_label
_atom_site_type_symbol
_atom_site_fract_x
_atom_site_fract_y
_atom_site_fract_z
Na1 Na 0.000 0.500 0.000
Mg1 Mg 0.000 0.000 0.000
Sb1 Sb 0.000 0.000 0.500
Pt1 Pt 0.500 0.500 0.500
```

Results
Calculated total energy in eV for the cell shown: -10.87

11.
Mn2ZnHg: relaxed, PBE.

CIF file:
```
data_Mn2ZnHg
_cell_length_a 6.401
_cell_length_b 6.401
_cell_length_c 6.401
_cell_angle_alpha 90.00
_cell_angle_beta 90.00
_cell_angle_gamma 90.00
_space_group_name_H-M_alt 'F -4 3 m'
_space_group_IT_number 216
_space_group_name_Hall 'F -4 2 3'
loop_
_atom_site_label
_atom_site_type_symbol
_atom_site_fract_x
_atom_site_fract_y
_atom_site_fract_z
Mn1 Mn 0.000 0.000 0.000
Mn2 Mn 0.250 0.250 0.250
Zn1 Zn 0.250 0.250 0.750
Hg1 Hg 0.000 0.000 0.500
```

Results
Formation energy in eV/atom: 0.394
Calculated total energy in eV for the cell shown: -73.36

12.
In2TcNi: relaxed, PBE.

CIF file:
```
data_In2TcNi
_cell_length_a 8.824
_cell_length_b 2.922
_cell_length_c 5.442
_cell_angle_alpha 90.00
_cell_angle_beta 101.00
_cell_angle_gamma 90.00
_space_group_name_H-M_alt 'C 1 2/m 1'
_space_group_IT_number 12
loop_
_space_group_symop_operation_xyz
'x,y,z'
'-x,-y,-z'
'-x,y,-z'
'x,-y,z'
'x+1/2,y+1/2,z'
'-x+1/2,-y+1/2,-z'
'-x+1/2,y+1/2,-z'
'x+1/2,-y+1/2,z'
loop_
_atom_site_label
_atom_site_type_symbol
_atom_site_fract_x
_atom_site_fract_y
_atom_site_fract_z
In1 In 0.244 0.000 0.241
Tc1 Tc 0.000 0.000 0.500
Ni1 Ni 0.000 0.500 0.000
```

Results
Formation energy in eV/atom: 0.318
Calculated total energy in eV for the cell shown: -40.70

no.,spin magnetization (μB/atom)
1,0.0001
2,1.5083
3,0.0014
4,0.0789
5,0.3136
6,0.0000
7,0.3402
8,0.0002
9,0.0000
10,0.0000
11,1.8702
12,0.0000